(1)
Here is crystalline ZnReN2 at its relaxed geometry from Alexandria. Energies are from GGA-PBE.

CIF file:
```
data_ZnReN2
_chemical_formula_sum 'Zn4 Re4 N8'
_cell_length_a 5.356
_cell_length_b 6.579
_cell_length_c 5.604
_cell_angle_alpha 90.00
_cell_angle_beta 90.00
_cell_angle_gamma 90.00
_symmetry_space_group_name_H-M 'P 1'
_symmetry_Int_Tables_number 1
_symmetry_space_group_name_Hall 'P 1'
loop_
_atom_site_label
_atom_site_type_symbol
_atom_site_fract_x
_atom_site_fract_y
_atom_site_fract_z
Re1 Re 0.541 0.344 0.021
Re2 Re 0.459 0.656 0.521
Re3 Re 0.959 0.844 0.521
Re4 Re 0.041 0.156 0.021
Zn1 Zn 0.600 0.885 0.000
Zn2 Zn 0.400 0.115 0.500
Zn3 Zn 0.900 0.385 0.500
Zn4 Zn 0.100 0.615 0.000
N1 N 0.539 0.393 0.360
N2 N 0.461 0.607 0.860
N3 N 0.961 0.893 0.860
N4 N 0.039 0.107 0.360
N5 N 0.614 0.885 0.369
N6 N 0.386 0.115 0.869
N7 N 0.886 0.385 0.869
N8 N 0.114 0.615 0.369
```

Results
Its space-group type is Pna2_1 (33). The value obtained for the uncorrected formation energy is 0.239 eV per atom.



(2)
Here is crystalline Er4SbTe4 at its relaxed geometry from Alexandria. Energies are from GGA-PBE.

CIF file:
```
data_Er4SbTe4
_chemical_formula_sum 'Er4 Sb1 Te4'
_cell_length_a 4.320
_cell_length_b 7.495
_cell_length_c 9.613
_cell_angle_alpha 75.43
_cell_angle_beta 77.01
_cell_angle_gamma 73.25
_symmetry_space_group_name_H-M 'P 1'
_symmetry_Int_Tables_number 1
_symmetry_space_group_name_Hall 'P 1'
loop_
_atom_site_label
_atom_site_type_symbol
_atom_site_fract_x
_atom_site_fract_y
_atom_site_fract_z
Er1 Er 0.301 0.093 0.304
Er2 Er 0.699 0.907 0.696
Er3 Er 0.902 0.295 0.901
Er4 Er 0.098 0.705 0.099
Sb1 Sb 0.500 0.000 0.000
Te1 Te 0.696 0.402 0.205
Te2 Te 0.902 0.795 0.402
Te3 Te 0.304 0.598 0.795
Te4 Te 0.098 0.205 0.598
```

Results
Its space-group type is C2/m (12). The value obtained for the uncorrected formation energy is -1.326 eV per atom.



(3)
Here is crystalline PaHgSb2 at its relaxed geometry from Alexandria. Energies are from GGA-PBE.

CIF file:
```
data_PaHgSb2
_chemical_formula_sum 'Pa1 Hg1 Sb2'
_cell_length_a 4.039
_cell_length_b 4.039
_cell_length_c 6.618
_cell_angle_alpha 90.00
_cell_angle_beta 90.00
_cell_angle_gamma 90.00
_symmetry_space_group_name_H-M 'P 1'
_symmetry_Int_Tables_number 1
_symmetry_space_group_name_Hall 'P 1'
loop_
_atom_site_label
_atom_site_type_symbol
_atom_site_fract_x
_atom_site_fract_y
_atom_site_fract_z
Sb1 Sb 0.000 0.000 0.775
Sb2 Sb 0.000 0.000 0.225
Pa1 Pa 0.500 0.500 0.000
Hg1 Hg 0.500 0.500 0.500
```

Results
Its space-group type is P4/mmm (123). The value obtained for the distance to the lowest polymorph of the same formula is 68 meV/atom. The value obtained for the uncorrected formation energy is -0.276 eV per atom.



(4)
Here is crystalline TcBiRh3 at its relaxed geometry from Alexandria. Energies are from GGA-PBE.

CIF file:
```
data_TcBiRh3
_chemical_formula_sum 'Tc1 Bi1 Rh3'
_cell_length_a 4.714
_cell_length_b 4.714
_cell_length_c 4.714
_cell_angle_alpha 90.00
_cell_angle_beta 90.00
_cell_angle_gamma 90.00
_symmetry_space_group_name_H-M 'P 1'
_symmetry_Int_Tables_number 1
_symmetry_space_group_name_Hall 'P 1'
loop_
_atom_site_label
_atom_site_type_symbol
_atom_site_fract_x
_atom_site_fract_y
_atom_site_fract_z
Rh1 Rh 0.000 0.500 0.000
Rh2 Rh 0.000 0.000 0.500
Rh3 Rh 0.500 0.000 0.000
Bi1 Bi 0.500 0.500 0.500
Tc1 Tc 0.000 0.000 0.000
```

Results
The calculation puts the formation enthalpy at 0 K at 88 kJ/mol of atoms. Its space-group type is Pm-3m (221). The value obtained for the distance to the lowest polymorph of the same formula is 0 meV/atom.



(5)
Here is crystalline CaMoRu2 at its relaxed geometry from Alexandria. Energies are from GGA-PBE.

CIF file:
```
data_CaMoRu2
_chemical_formula_sum 'Ca1 Mo1 Ru2'
_cell_length_a 2.877
_cell_length_b 3.863
_cell_length_c 6.702
_cell_angle_alpha 90.00
_cell_angle_beta 90.00
_cell_angle_gamma 90.00
_symmetry_space_group_name_H-M 'P 1'
_symmetry_Int_Tables_number 1
_symmetry_space_group_name_Hall 'P 1'
loop_
_atom_site_label
_atom_site_type_symbol
_atom_site_fract_x
_atom_site_fract_y
_atom_site_fract_z
Ru1 Ru 0.000 0.000 0.987
Ru2 Ru 0.500 0.500 0.199
Mo1 Mo 0.500 0.500 0.835
Ca1 Ca 0.000 0.000 0.479
```

Results
The calculation puts the formation enthalpy at 0 K at 46 kJ/mol of atoms. Its space-group type is Pmm2 (25). The value obtained for the distance to the lowest polymorph of the same formula is 327 meV/atom.



(6)
Here is crystalline RbSb3Pb3 at its relaxed geometry from Alexandria. Energies are from GGA-PBE.

CIF file:
```
data_RbSb3Pb3
_chemical_formula_sum 'Rb2 Sb6 Pb6'
_cell_length_a 9.115
_cell_length_b 9.115
_cell_length_c 9.967
_cell_angle_alpha 62.79
_cell_angle_beta 62.79
_cell_angle_gamma 60.00
_symmetry_space_group_name_H-M 'P 1'
_symmetry_Int_Tables_number 1
_symmetry_space_group_name_Hall 'P 1'
loop_
_atom_site_label
_atom_site_type_symbol
_atom_site_fract_x
_atom_site_fract_y
_atom_site_fract_z
Rb1 Rb 0.333 0.333 0.001
Rb2 Rb 0.667 0.667 0.999
Sb1 Sb 0.244 0.575 0.273
Sb2 Sb 0.908 0.244 0.273
Sb3 Sb 0.575 0.908 0.273
Sb4 Sb 0.425 0.092 0.727
Sb5 Sb 0.092 0.756 0.727
Sb6 Sb 0.756 0.425 0.727
Pb1 Pb 0.453 0.790 0.634
Pb2 Pb 0.790 0.123 0.634
Pb3 Pb 0.123 0.453 0.634
Pb4 Pb 0.877 0.547 0.366
Pb5 Pb 0.210 0.877 0.366
Pb6 Pb 0.547 0.210 0.366
```

Results
Its space-group type is R-3 (148). The value obtained for the distance to the lowest polymorph of the same formula is 0 meV/atom. The value obtained for the uncorrected formation energy is -0.087 eV per atom.